# 1
4
Lattice="-2.524 0.853 -4.073 -2.131 -3.685 -2.360 -4.850 -0.416 0.010" Properties=species:S:1:pos:R:3 comment="GGA-PBE AcCoSbRu, optimized geometry" e_tot_ev_per_cell=-24.3 n_ef_per_ev_atom=0.578 vol_a3_per_cell=81.5 formation_energy_uncorrected_ev_per_atom=0.069 pbc="T T T"
Ac -7.129 -2.436 -4.817
Co -4.752 -1.624 -3.212
Sb -2.376 -0.812 -1.606
Ru 0.000 0.000 0.000


# 2
5
Lattice="-1.748 -3.734 -0.275 1.774 -1.093 3.568 -4.261 4.207 1.015" Properties=species:S:1:pos:R:3 comment="GGA-PBE AcCoSi2Ru, optimized geometry" e_tot_ev_per_cell=-35.0 n_ef_per_ev_atom=0.571 vol_a3_per_cell=90.9 formation_energy_uncorrected_ev_per_atom=-0.723 pbc="T T T"
Si -1.213 -1.896 2.415
Si -3.022 1.275 1.894
Co -2.998 -0.971 1.194
Ru -1.237 0.350 3.115
Ac 0.000 0.000 0.000


# 3
4
Lattice="-5.024 -0.425 -0.171 -2.268 -3.979 2.114 -2.725 0.589 4.204" Properties=species:S:1:pos:R:3 comment="GGA-PBE AcSmCoRu, optimized geometry" e_tot_ev_per_cell=-25.0 n_ef_per_ev_atom=1.050 vol_a3_per_cell=90.8 formation_enthalpy_0k_mev_per_atom=60.5 pbc="T T T"
Sm -7.513 -2.861 4.611
Co -5.009 -1.908 3.074
Ru 0.000 0.000 0.000
Ac -2.504 -0.954 1.537


# 4
9
Lattice="7.292 0.000 0.000 3.646 6.315 0.000 0.000 0.000 9.573" Properties=species:S:1:pos:R:3 comment="GGA-PBE SrAc6CoRu, optimized geometry" e_tot_ev_per_cell=-42.0 n_ef_per_ev_atom=1.028 vol_a3_per_cell=440.9 formation_enthalpy_0k_mev_per_atom=75.0 pbc="T T T"
Ac 2.519 0.033 6.400
Ac 6.004 2.165 6.400
Ac 1.288 2.165 3.173
Ac 2.415 4.117 6.400
Ac 4.877 4.117 3.173
Ac 4.773 0.033 3.173
Ru 7.292 4.210 4.787
Co 3.646 2.105 4.787
Sr 7.292 0.000 9.573


# 5
4
Lattice="-3.159 3.072 2.256 -2.407 -1.473 4.067 1.157 1.946 4.403" Properties=species:S:1:pos:R:3 comment="GGA-PBE AcTmCoRu, optimized geometry" e_tot_ev_per_cell=-25.0 n_ef_per_ev_atom=1.091 vol_a3_per_cell=85.8 formation_enthalpy_0k_mev_per_atom=-10.8 pbc="T T T"
Co -1.102 0.886 2.681
Ru -3.307 2.658 8.044
Ac 0.000 0.000 0.000
Tm -2.205 1.772 5.363


# 6
4
Lattice="4.997 0.000 0.000 2.499 4.328 0.000 2.499 1.443 4.080" Properties=species:S:1:pos:R:3 comment="GGA-PBE AcYCoRu, optimized geometry" e_tot_ev_per_cell=-26.9 n_ef_per_ev_atom=1.092 vol_a3_per_cell=88.2 formation_enthalpy_0k_mev_per_atom=18.2 pbc="T T T"
Ru 4.997 2.885 2.040
Ac 2.499 1.443 1.020
Y 7.496 4.328 3.060
Co 0.000 0.000 0.000


# 7
18
Lattice="-4.309 0.980 5.606 3.313 -5.876 3.574 7.170 6.950 4.779" Properties=species:S:1:pos:R:3 comment="GGA-PBE Ac6Co2S, optimized geometry" e_tot_ev_per_cell=-92.8 n_ef_per_ev_atom=1.069 vol_a3_per_cell=602.9 formation_energy_uncorrected_ev_per_atom=-0.376 pbc="T T T"
Co 3.433 4.727 6.393
Co -1.383 0.103 7.802
Co 2.742 -2.674 7.567
Co 7.557 1.950 6.157
Ac 3.953 3.304 8.869
Ac 5.306 -0.531 7.590
Ac 4.545 2.332 5.020
Ac 7.907 1.754 9.105
Ac 0.869 2.584 6.369
Ac -0.902 -2.686 7.498
Ac 1.630 -0.279 8.939
Ac 2.222 -1.251 5.090
Ac 4.881 0.535 11.608
Ac -1.732 0.300 4.854
Ac 7.077 4.740 6.461
Ac 1.293 1.519 2.351
S -0.498 -2.448 4.590
S 3.585 3.475 2.390


# 8
80
Lattice="-5.082 -5.707 10.450 1.715 -8.815 -9.325 11.406 5.289 3.089" Properties=species:S:1:pos:R:3 comment="GGA-PBE Ac3Co5S12, optimized geometry" e_tot_ev_per_cell=-459.2 n_ef_per_ev_atom=0.757 vol_a3_per_cell=1670.3 formation_energy_uncorrected_ev_per_atom=-0.871 pbc="T T T"
S 5.613 -6.404 -6.325
S 8.492 -1.058 1.895
S -0.454 -8.175 2.319
S 4.144 -5.046 4.394
S 7.132 1.864 3.212
S 5.308 -2.694 2.385
S 0.906 -11.096 1.002
S 11.239 -4.415 -2.080
S 8.897 -6.690 -2.594
S -2.472 -12.605 0.145
S 4.849 -0.146 5.163
S 8.288 -0.943 5.173
S -0.313 -5.376 0.601
S 1.598 -0.738 5.125
S -3.201 -4.817 6.293
S 6.441 -8.494 -0.911
S -0.838 -7.490 7.593
S -1.071 -4.063 3.881
S 6.804 -2.412 -0.893
S -1.944 -9.912 5.349
S 5.400 0.457 0.798
S 2.063 -1.070 -0.176
S 4.468 -6.757 -2.915
S -0.249 -8.290 -0.959
S 2.638 -9.690 3.416
S 1.235 -6.820 5.107
S 8.351 -3.856 3.613
S 3.570 -2.475 7.129
S 8.876 -1.742 -3.379
S 1.184 -6.636 -4.063
S 6.803 -5.486 6.674
S 2.731 -6.538 1.829
S 1.236 -3.746 -2.460
S 3.894 -4.186 -0.180
S 3.189 -9.086 -0.949
S 1.545 -5.234 7.990
S 9.983 0.680 -1.136
S 2.293 -8.020 -7.212
S 6.493 -3.998 -3.776
S 5.746 -1.212 11.426
S 6.855 -2.596 8.277
S 2.074 -3.375 2.433
S 9.109 -5.169 0.333
S 10.510 3.373 4.068
S 5.965 -5.857 1.780
S 5.975 -8.162 4.390
S 2.426 -2.828 10.539
S -0.859 -2.542 6.808
Ac 9.781 -2.308 -0.513
Ac 1.530 -3.787 5.358
Ac 3.221 -0.545 2.605
Ac 2.017 -6.327 -1.137
Ac 4.817 -8.687 1.609
Ac 6.509 -5.445 -1.145
Ac -1.743 -6.924 4.727
Ac -1.381 -4.773 8.751
Ac 6.021 -2.905 5.351
Ac 9.773 1.711 1.678
Ac -1.735 -10.943 2.536
Ac 9.419 -4.459 -4.537
Co 1.656 -8.478 -5.161
Co 4.928 -5.341 -4.529
Co 8.090 -5.550 2.240
Co 0.857 -4.407 -4.663
Co 6.560 -1.763 -3.118
Co 3.110 -3.891 8.743
Co 2.859 -2.697 -1.419
Co 1.176 -9.957 -0.856
Co 1.537 -7.806 3.168
Co -1.684 -7.261 0.563
Co 6.501 -1.426 1.046
Co 3.162 -0.209 6.770
Co 4.019 -4.616 2.107
Co 5.179 -6.536 5.632
Co 6.383 -0.754 9.375
Co 6.863 0.725 5.070
Co -0.051 -3.682 1.974
Co 5.703 2.645 1.544
Co -2.541 -2.853 5.225
Co 0.000 0.000 0.000